No. 1
A geometry-optimized Pr4Zn3Au structure. Source: Alexandria, functional GGA-PBE.

a = 3.744 Å, b = 3.744 Å, c = 14.694 Å
α = 90.00°, β = 90.00°, γ = 90.00°
Fractional coordinates of all 8 atoms:
1 Pr 0.000 0.000 0.873
2 Pr 0.000 0.000 0.127
3 Pr 0.000 0.000 0.374
4 Pr 0.000 0.000 0.626
5 Zn 0.500 0.500 0.255
6 Zn 0.500 0.500 0.500
7 Zn 0.500 0.500 0.745
8 Au 0.500 0.500 0.000

ΔE_f, meV per atom: -413
Crystal system: tetragonal

***

No. 2
A geometry-optimized La2ZnGa6Ag structure. Source: Alexandria, functional GGA-PBE.

a = 6.487 Å, b = 6.487 Å, c = 12.634 Å
α = 75.12°, β = 75.12°, γ = 60.00°
Fractional coordinates of all 20 atoms:
1 La 0.890 0.890 0.330
2 La 0.110 0.110 0.670
3 La 0.712 0.712 0.864
4 La 0.288 0.288 0.136
5 Zn 0.572 0.572 0.285
6 Zn 0.428 0.428 0.715
7 Ga 0.942 0.333 0.393
8 Ga 0.333 0.942 0.393
9 Ga 0.333 0.333 0.393
10 Ga 0.058 0.667 0.607
11 Ga 0.667 0.058 0.607
12 Ga 0.667 0.667 0.607
13 Ga 0.648 0.233 0.887
14 Ga 0.233 0.648 0.887
15 Ga 0.233 0.233 0.887
16 Ga 0.352 0.767 0.113
17 Ga 0.767 0.352 0.113
18 Ga 0.767 0.767 0.113
19 Ag 0.000 0.000 0.000
20 Ag 0.500 0.500 0.500

ΔE_f, meV per atom: -302
Crystal system: trigonal

***

No. 3
A geometry-optimized BiPO2 structure. Source: Alexandria, functional GGA-PBE.

a = 5.731 Å, b = 5.731 Å, c = 5.730 Å
α = 59.99°, β = 59.99°, γ = 90.00°
Fractional coordinates of all 8 atoms:
1 P 0.500 0.500 0.000
2 P 0.250 0.750 0.500
3 Bi 0.000 0.000 0.000
4 Bi 0.750 0.250 0.500
5 O 0.375 0.125 0.250
6 O 0.375 0.625 0.250
7 O 0.375 0.625 0.750
8 O 0.875 0.625 0.750

Crystal system: cubic

***

Energy values, unit eV/atom, following the record order: -3.691 -3.517 -5.298.
Size of the total moment values, unit μB per formula unit, following the record order: 0.00 0.00 0.00.